1.
Below is an optimized crystal structure of NiPb2W, with properties calculated at the GGA-PBEsol level.

The structure in CIF format:
```
data_NiPb2W
_chemical_formula_sum 'Ni2 Pb4 W2'
_space_group_name_H-M_alt 'I m m 2'
_space_group_IT_number 44
_space_group_name_Hall 'I 2 -2'
_cell_length_a 3.026
_cell_length_b 4.875
_cell_length_c 10.595
_cell_angle_alpha 90.00
_cell_angle_beta 90.00
_cell_angle_gamma 90.00
loop_
_atom_site_label
_atom_site_fract_x
_atom_site_fract_y
_atom_site_fract_z
Ni1 0.000 0.000 0.000
Pb1 0.000 0.000 0.470
Pb2 0.000 0.500 0.263
W1 0.000 0.500 0.682
```

Output
For the total DFT energy (no corrections), the calculation gives -6.26 eV per atom. The value obtained for the magnetic moment is 0.003 μB/f.u. The calculation puts the energy above the most stable polymorph in this dataset at 0.3316 eV/atom. For the formation energy, the calculation gives 70 kJ/mol of atoms.

---

2.
Below is an optimized crystal structure of Ba2TaRu, with properties calculated at the GGA-PBEsol level.

The structure in CIF format:
```
data_Ba2TaRu
_chemical_formula_sum 'Ba4 Ta2 Ru2'
_space_group_name_H-M_alt 'I 4/m m m'
_space_group_IT_number 139
_space_group_name_Hall '-I 4 2'
_cell_length_a 4.212
_cell_length_b 4.212
_cell_length_c 11.118
_cell_angle_alpha 90.00
_cell_angle_beta 90.00
_cell_angle_gamma 90.00
loop_
_atom_site_label
_atom_site_fract_x
_atom_site_fract_y
_atom_site_fract_z
Ba1 0.000 0.500 0.250
Ta1 0.000 0.000 0.000
Ru1 0.000 0.000 0.500
```

Output
For the total DFT energy (no corrections), the calculation gives -5.58 eV per atom. The value obtained for the magnetic moment is 0.001 μB/f.u. The calculation puts the energy above the most stable polymorph in this dataset at 0.8189 eV/atom. For the formation energy, the calculation gives 113 kJ/mol of atoms.

---

3.
Below is an optimized crystal structure of HfOsSN2, with properties calculated at the GGA-PBEsol level.

The structure in CIF format:
```
data_HfOsSN2
_chemical_formula_sum 'Hf1 Os1 S1 N2'
_space_group_name_H-M_alt 'P 4/m m m'
_space_group_IT_number 123
_space_group_name_Hall '-P 4 2'
_cell_length_a 3.791
_cell_length_b 3.791
_cell_length_c 4.786
_cell_angle_alpha 90.00
_cell_angle_beta 90.00
_cell_angle_gamma 90.00
loop_
_atom_site_label
_atom_site_fract_x
_atom_site_fract_y
_atom_site_fract_z
Hf1 0.000 0.000 0.000
Os1 0.500 0.500 0.500
S1 0.500 0.500 0.000
N1 0.000 0.500 0.500
```

Output
For the total DFT energy (no corrections), the calculation gives -8.57 eV per atom. The value obtained for the magnetic moment is 0.000 μB/f.u. The value obtained for the formation energy (no corrections) is 25.6 kJ/mol of atoms.